Record 1
A plane-wave DFT calculation with PBE was carried out for a relaxed structure of TaVGaRh.

Cell lengths 6.2385, 6.2385, 6.2385 Å; angles 90.00, 90.00, 90.00 degrees
With the nearest neighbours (Å) after each atom.
Space group F-43m (No. 216)
Inequivalent atoms, fractional coordinates:
Ta1 0.0000 0.0000 0.0000 x4  4 Rh 2.70, 4 V 2.70
V1 0.2500 0.2500 0.2500 x4  4 Ta 2.70, 4 Ga 2.70
Ga1 0.0000 0.0000 0.5000 x4  4 V 2.70, 4 Rh 2.70
Rh1 0.2500 0.2500 0.7500 x4  4 Ta 2.70, 4 Ga 2.70

## Properties
Total DFT energy (no corrections): -129.9 eV per cell
Calculated formation energy: -0.28 eV per atom
Spin magnetization: 1.97 μB/f.u.

=====

Record 2
A plane-wave DFT calculation with PBE was carried out for a relaxed structure of ZrTaGa2Rh.

Cell lengths 4.5987, 4.5987, 4.9483 Å; angles 90.00, 90.00, 90.00 degrees
With the nearest neighbours (Å) after each atom.
Space group P4/mmm (No. 123)
Inequivalent atoms, fractional coordinates:
Zr1 0.0000 0.0000 0.0000 x1  4 Ta 3.25, 8 Ga 3.38
Ta1 0.5000 0.5000 0.0000 x1  2 Rh 2.47
Ga1 0.0000 0.5000 0.5000 x2  2 Rh 2.30
Rh1 0.5000 0.5000 0.5000 x1  4 Ga 2.30, 2 Ta 2.47

## Properties
Total DFT energy (no corrections): -32.3 eV per cell
Calculated formation energy: 0.30 eV per atom
Spin magnetization: 0.00 μB/f.u.

=====

Record 3
A plane-wave DFT calculation with PBE was carried out for a relaxed structure of Tb4GaRh2.

Cell lengths 6.9228, 6.9859, 8.3780 Å; angles 108.00, 107.68, 105.16 degrees
With the nearest neighbours (Å) after each atom.
Space group P1 (No. 1)
Inequivalent atoms, fractional coordinates:
Tb1 0.0000 0.0000 0.0000 x1  3 Rh 2.80-3.01
Tb2 0.0286 0.5341 0.0699 x1  3 Rh 2.80-3.02
Tb3 0.0812 0.7457 0.6023 x1  3 Rh 2.85-2.91, 1 Ga 3.09
Tb4 0.3403 0.1377 0.4702 x1  3 Rh 2.76-3.02, 1 Ga 2.97
Tb5 0.4798 0.6101 0.8907 x1  3 Rh 2.72-2.87, 1 Ga 2.95
Tb6 0.5115 0.6743 0.4623 x1  3 Rh 2.86-2.89, 1 Ga 3.09
Tb7 0.6245 0.2473 0.1780 x1  3 Rh 2.71-2.87, 1 Ga 2.95
Tb8 0.9066 0.2045 0.6036 x1  3 Rh 2.76-3.03, 1 Ga 2.96
Ga1 0.5861 0.0776 0.7963 x1  1 Rh 2.70, 2 Tb 2.95-2.97
Ga2 0.8244 0.8246 0.2723 x1  1 Rh 2.70, 2 Tb 2.95-2.96
Rh1 0.0864 0.3574 0.3575 x1  7 Tb 2.76-3.03
Rh2 0.2713 0.2039 0.8623 x1  1 Ga 2.70, 5 Tb 2.72-2.91
Rh3 0.4381 0.8743 0.2068 x1  1 Ga 2.70, 5 Tb 2.71-2.89
Rh4 0.7645 0.5377 0.7114 x1  7 Tb 2.76-3.02

## Properties
Total DFT energy (no corrections): -81.6 eV per cell
Calculated formation energy: -0.65 eV per atom
Spin magnetization: 0.00 μB/f.u.

=====

Record 4
A plane-wave DFT calculation with PBE was carried out for a relaxed structure of Tb3GaRh8.

Cell lengths 5.2914, 5.2914, 26.0449 Å; angles 90.00, 90.00, 120.00 degrees
With the nearest neighbours (Å) after each atom.
Space group R3m (No. 160, hexagonal axes)
Inequivalent atoms, fractional coordinates:
Tb1 0.0000 0.0000 0.0000 x3  12 Rh 3.10-3.14, 4 Tb 3.33-3.37
Tb2 0.0000 0.0000 0.1293 x3  12 Rh 2.99-3.16, 3 Ga 3.15
Tb3 0.0000 0.0000 0.6162 x3  12 Rh 3.00-3.33, 1 Ga 3.22, 3 Tb 3.33
Ga1 0.0000 0.0000 0.4927 x3  12 Rh 2.94-3.20, 4 Tb 3.15-3.22
Rh1 0.0000 0.0000 0.3123 x3  6 Rh 2.66-2.67
Rh2 0.0000 0.0000 0.8129 x3  6 Rh 2.62-2.66
Rh3 0.0003 0.5001 0.5615 x9  6 Rh 2.62-2.67
Rh4 0.0013 0.5006 0.0629 x9  6 Rh 2.64-2.66, 1 Ga 2.94

## Properties
Total DFT energy (no corrections): -248.6 eV per cell
Calculated formation energy: -0.60 eV per atom
Spin magnetization: 0.00 μB/f.u.

=====

Record 5
A plane-wave DFT calculation with PBE was carried out for a relaxed structure of Tb2Ga4Rh3.

Cell lengths 5.4834, 9.5354, 12.6456 Å; angles 90.00, 90.00, 90.00 degrees
With the nearest neighbours (Å) after each atom.
Space group Fmmm (No. 69)
Inequivalent atoms, fractional coordinates:
Tb1 0.0000 0.0000 0.1264 x8  8 Ga 3.14-3.21, 6 Rh 3.17-3.18, 1 Tb 3.20
Ga1 0.0000 0.1699 0.3391 x16  3 Rh 2.57-2.60, 1 Ga 2.72
Rh1 0.0000 0.0000 0.5000 x4  4 Ga 2.60, 4 Rh 2.75
Rh2 0.2500 0.2500 0.0000 x8  4 Ga 2.57, 4 Rh 2.74-2.75

## Properties
Total DFT energy (no corrections): -198.9 eV per cell
Calculated formation energy: -0.70 eV per atom
Spin magnetization: 0.00 μB/f.u.

=====

Record 6
A plane-wave DFT calculation with PBE was carried out for a relaxed structure of Tb3Ga3Rh.

Cell lengths 10.9131, 4.2897, 14.1710 Å; angles 90.00, 109.84, 90.00 degrees
With the nearest neighbours (Å) after each atom.
Space group C2/m (No. 12)
Inequivalent atoms, fractional coordinates:
Tb1 0.0265 0.0000 0.3813 x4  6 Ga 3.01-3.23, 4 Rh 3.14-3.25
Tb2 0.1078 0.0000 0.9230 x4  7 Ga 3.05-3.19
Tb3 0.2372 0.0000 0.2358 x4  6 Ga 3.01-3.22, 2 Rh 3.16
Ga1 0.0310 0.5000 0.2335 x4  1 Ga 2.63, 1 Rh 2.70
Ga2 0.1079 0.5000 0.0763 x4  2 Ga 2.60-2.63
Ga3 0.1371 0.5000 0.5393 x4  3 Rh 2.50-2.60
Rh1 0.2434 0.5000 0.4009 x4  4 Ga 2.50-2.70

## Properties
Total DFT energy (no corrections): -141.5 eV per cell
Calculated formation energy: -0.72 eV per atom
Spin magnetization: 0.00 μB/f.u.